# Tl2InTeRh

An optimized crystal structure of Tl2InTeRh (PBE, Alexandria via LeMat-Bulk).

Cell: 5.302 5.302 5.217 Å, 90.00 90.00 90.00°
Fractional coordinates of all 5 atoms:
Tl (0.000, 0.500, 0.000)
Tl (0.500, 0.000, 0.000)
In (0.000, 0.000, 0.500)
Te (0.500, 0.500, 0.500)
Rh (0.000, 0.000, 0.000)

As for the symmetry: No. 123. As for the magnetization: 0.00 μB/f.u. The calculation puts the volume at 29.33 Å³ per atom. The calculation puts the formation energy without anion corrections at -91.4 meV per atom.

# ZrIn2TeRh

An optimized crystal structure of ZrIn2TeRh (PBE, Alexandria via LeMat-Bulk).

Cell: 5.569 5.569 5.387 Å, 90.00 90.00 90.00°
Fractional coordinates of all 5 atoms:
Zr (0.000, 0.000, 0.000)
In (0.000, 0.500, 0.000)
In (0.500, 0.000, 0.000)
Te (0.000, 0.000, 0.500)
Rh (0.500, 0.500, 0.500)

As for the symmetry: No. 123. As for the magnetization: 1.00 μB/f.u. The calculation puts the volume at 33.42 Å³ per atom. The calculation puts the formation energy without anion corrections at 876.0 meV per atom.

# Th3InRh12

An optimized crystal structure of Th3InRh12 (PBE, Alexandria via LeMat-Bulk).

Cell: 4.105 4.105 16.276 Å, 90.00 90.00 90.00°
Fractional coordinates of all 16 atoms:
Th (0.000, 0.000, 0.000)
Th (0.000, 0.000, 0.256)
Th (0.000, 0.000, 0.744)
In (0.000, 0.000, 0.500)
Rh (0.000, 0.500, 0.128)
Rh (0.000, 0.500, 0.384)
Rh (0.000, 0.500, 0.616)
Rh (0.000, 0.500, 0.872)
Rh (0.500, 0.000, 0.128)
Rh (0.500, 0.000, 0.384)
Rh (0.500, 0.000, 0.616)
Rh (0.500, 0.000, 0.872)
Rh (0.500, 0.500, 0.000)
Rh (0.500, 0.500, 0.256)
Rh (0.500, 0.500, 0.500)
Rh (0.500, 0.500, 0.744)

As for the energy relative to the elements: -0.560 eV per atom. As for the symmetry: No. 123. As for the magnetization: 0.00 μB/f.u. The calculation puts the volume at 17.14 Å³ per atom.

# Th11In9Rh4

An optimized crystal structure of Th11In9Rh4 (PBE, Alexandria via LeMat-Bulk).

Cell: 13.481 13.481 3.815 Å, 90.00 90.00 112.73°
Fractional coordinates of all 24 atoms:
Th (0.000, 0.000, 0.000)
Th (0.074, 0.416, 0.000)
Th (0.155, 0.845, 0.000)
Th (0.312, 0.312, 0.000)
Th (0.373, 0.627, 0.000)
Th (0.416, 0.074, 0.000)
Th (0.584, 0.926, 0.000)
Th (0.627, 0.373, 0.000)
Th (0.688, 0.688, 0.000)
Th (0.845, 0.155, 0.000)
Th (0.926, 0.584, 0.000)
In (0.078, 0.218, 0.500)
In (0.159, 0.636, 0.500)
In (0.218, 0.078, 0.500)
In (0.364, 0.841, 0.500)
In (0.500, 0.500, 0.500)
In (0.636, 0.159, 0.500)
In (0.782, 0.922, 0.500)
In (0.841, 0.364, 0.500)
In (0.922, 0.782, 0.500)
Rh (0.246, 0.447, 0.500)
Rh (0.447, 0.246, 0.500)
Rh (0.553, 0.754, 0.500)
Rh (0.754, 0.553, 0.500)

As for the energy relative to the elements: -0.536 eV per atom. As for the symmetry: No. 65. As for the magnetization: 0.00 μB/f.u. The calculation puts the volume at 26.65 Å³ per atom.

# ThInRh

An optimized crystal structure of ThInRh (PBE, Alexandria via LeMat-Bulk).

Cell: 4.742 4.742 3.579 Å, 90.00 90.00 120.00°
Fractional coordinates of all 3 atoms:
Th (0.000, 0.000, 0.000)
In (0.333, 0.667, 0.500)
Rh (0.667, 0.333, 0.500)

As for the energy relative to the elements: -0.520 eV per atom. As for the symmetry: No. 187. As for the magnetization: 0.00 μB/f.u. The calculation puts the volume at 23.23 Å³ per atom.

# ThIn5Rh3

An optimized crystal structure of ThIn5Rh3 (PBE, Alexandria via LeMat-Bulk).

Cell: 7.514 7.514 14.427 Å, 90.00 90.00 151.74°
Fractional coordinates of all 18 atoms:
Th (0.149, 0.851, 0.750)
Th (0.851, 0.149, 0.250)
In (0.000, 0.000, 0.000)
In (0.000, 0.000, 0.500)
In (0.198, 0.802, 0.059)
In (0.198, 0.802, 0.441)
In (0.440, 0.560, 0.655)
In (0.440, 0.560, 0.845)
In (0.560, 0.440, 0.155)
In (0.560, 0.440, 0.345)
In (0.802, 0.198, 0.559)
In (0.802, 0.198, 0.941)
Rh (0.180, 0.820, 0.250)
Rh (0.381, 0.619, 0.097)
Rh (0.381, 0.619, 0.403)
Rh (0.619, 0.381, 0.597)
Rh (0.619, 0.381, 0.903)
Rh (0.820, 0.180, 0.750)

As for the energy relative to the elements: -0.314 eV per atom. As for the symmetry: No. 63. As for the magnetization: 0.00 μB/f.u. The calculation puts the volume at 21.43 Å³ per atom.

# ThInRh4

An optimized crystal structure of ThInRh4 (PBE, Alexandria via LeMat-Bulk).

Cell: 5.355 5.355 5.355 Å, 60.00 60.00 60.00°
Fractional coordinates of all 6 atoms:
Th (0.000, 0.000, 0.000)
In (0.250, 0.250, 0.250)
Rh (0.129, 0.624, 0.624)
Rh (0.624, 0.129, 0.624)
Rh (0.624, 0.624, 0.129)
Rh (0.624, 0.624, 0.624)

As for the energy relative to the elements: -0.541 eV per atom. The energy above the lowest structure with this stoichiometry comes out at 0.000 eV per atom. As for the symmetry: No. 216. As for the magnetization: 0.00 μB/f.u. The calculation puts the volume at 18.10 Å³ per atom.

# ThIn3Rh4

An optimized crystal structure of ThIn3Rh4 (PBE, Alexandria via LeMat-Bulk).

Cell: 8.211 8.211 8.211 Å, 33.27 33.27 33.27°
Fractional coordinates of all 8 atoms:
Th (0.000, 0.000, 0.000)
In (0.246, 0.246, 0.246)
In (0.500, 0.500, 0.500)
In (0.754, 0.754, 0.754)
Rh (0.125, 0.125, 0.125)
Rh (0.384, 0.384, 0.384)
Rh (0.616, 0.616, 0.616)
Rh (0.875, 0.875, 0.875)

As for the energy relative to the elements: -0.560 eV per atom. As for the symmetry: No. 166. As for the magnetization: 0.00 μB/f.u. The calculation puts the volume at 18.55 Å³ per atom.

# ThInRh4

An optimized crystal structure of ThInRh4 (PBE, Alexandria via LeMat-Bulk).

Cell: 4.536 4.536 5.929 Å, 90.00 90.00 90.00°
Fractional coordinates of all 6 atoms:
Th (0.000, 0.000, 0.000)
In (0.500, 0.500, 0.500)
Rh (0.000, 0.500, 0.253)
Rh (0.000, 0.500, 0.747)
Rh (0.500, 0.000, 0.253)
Rh (0.500, 0.000, 0.747)

As for the energy relative to the elements: -0.138 eV per atom. The energy above the lowest structure with this stoichiometry comes out at 0.403 eV per atom. As for the symmetry: No. 123. As for the magnetization: 0.00 μB/f.u. The calculation puts the volume at 20.33 Å³ per atom.

# ThIn3Rh2

An optimized crystal structure of ThIn3Rh2 (PBE, Alexandria via LeMat-Bulk).

Cell: 9.647 9.647 11.307 Å, 111.94 111.94 24.46°
Fractional coordinates of all 18 atoms:
Th (0.000, 0.000, 0.000)
Th (0.168, 0.168, 0.687)
Th (0.832, 0.832, 0.313)
In (0.028, 0.028, 0.329)
In (0.211, 0.211, 0.403)
In (0.321, 0.321, 0.036)
In (0.368, 0.368, 0.796)
In (0.500, 0.500, 0.500)
In (0.632, 0.632, 0.204)
In (0.679, 0.679, 0.964)
In (0.789, 0.789, 0.597)
In (0.972, 0.972, 0.671)
Rh (0.223, 0.223, 0.165)
Rh (0.369, 0.369, 0.534)
Rh (0.478, 0.478, 0.158)
Rh (0.522, 0.522, 0.842)
Rh (0.631, 0.631, 0.466)
Rh (0.777, 0.777, 0.835)

As for the energy relative to the elements: -0.466 eV per atom. As for the symmetry: No. 12. As for the magnetization: 0.00 μB/f.u. The calculation puts the volume at 22.37 Å³ per atom.

# ThInRh3

An optimized crystal structure of ThInRh3 (PBE, Alexandria via LeMat-Bulk).

Cell: 6.540 6.540 6.540 Å, 128.04 107.92 94.37°
Fractional coordinates of all 10 atoms:
Th (0.270, 0.020, 0.250)
Th (0.730, 0.980, 0.750)
In (0.000, 0.500, 0.500)
In (0.500, 0.500, 0.000)
Rh (0.023, 0.273, 0.750)
Rh (0.308, 0.000, 0.808)
Rh (0.308, 0.500, 0.308)
Rh (0.692, 0.000, 0.192)
Rh (0.692, 0.500, 0.692)
Rh (0.977, 0.727, 0.250)

As for the energy relative to the elements: -0.541 eV per atom. As for the symmetry: No. 74. As for the magnetization: 0.00 μB/f.u. The calculation puts the volume at 19.60 Å³ per atom.

# ThInRh6

An optimized crystal structure of ThInRh6 (PBE, Alexandria via LeMat-Bulk).

Cell: 5.730 5.730 4.054 Å, 90.00 90.00 90.00°
Fractional coordinates of all 8 atoms:
Th (0.000, 0.000, 0.000)
In (0.500, 0.500, 0.000)
Rh (0.000, 0.500, 0.000)
Rh (0.259, 0.259, 0.500)
Rh (0.259, 0.741, 0.500)
Rh (0.500, 0.000, 0.000)
Rh (0.741, 0.259, 0.500)
Rh (0.741, 0.741, 0.500)

As for the energy relative to the elements: -0.412 eV per atom. As for the symmetry: No. 123. As for the magnetization: 0.00 μB/f.u. The calculation puts the volume at 16.64 Å³ per atom.

# Th2In8Rh

An optimized crystal structure of Th2In8Rh (PBE, Alexandria via LeMat-Bulk).

Cell: 4.732 4.732 12.353 Å, 90.00 90.00 90.00°
Fractional coordinates of all 11 atoms:
Th (0.000, 0.000, 0.194)
Th (0.000, 0.000, 0.806)
In (0.000, 0.500, 0.000)
In (0.000, 0.500, 0.380)
In (0.000, 0.500, 0.620)
In (0.500, 0.000, 0.000)
In (0.500, 0.000, 0.380)
In (0.500, 0.000, 0.620)
In (0.500, 0.500, 0.193)
In (0.500, 0.500, 0.807)
Rh (0.000, 0.000, 0.500)

As for the energy relative to the elements: -0.378 eV per atom. As for the symmetry: No. 123. As for the magnetization: 0.00 μB/f.u. The calculation puts the volume at 25.14 Å³ per atom.

# ThInRh2

An optimized crystal structure of ThInRh2 (PBE, Alexandria via LeMat-Bulk).

Cell: 4.720 4.720 3.586 Å, 90.00 90.00 90.00°
Fractional coordinates of all 4 atoms:
Th (0.000, 0.000, 0.000)
In (0.500, 0.500, 0.000)
Rh (0.000, 0.500, 0.500)
Rh (0.500, 0.000, 0.500)

As for the energy relative to the elements: -0.662 eV per atom. As for the symmetry: No. 123. As for the magnetization: 0.00 μB/f.u. The calculation puts the volume at 19.97 Å³ per atom.

# Th4In5Rh2

An optimized crystal structure of Th4In5Rh2 (PBE, Alexandria via LeMat-Bulk).

Cell: 7.921 3.750 9.802 Å, 90.00 94.21 90.00°
Fractional coordinates of all 11 atoms:
Th (0.178, 0.000, 0.352)
Th (0.222, 0.000, 0.941)
Th (0.778, 0.000, 0.059)
Th (0.822, 0.000, 0.648)
In (0.175, 0.500, 0.649)
In (0.460, 0.500, 0.178)
In (0.500, 0.500, 0.500)
In (0.540, 0.500, 0.822)
In (0.825, 0.500, 0.351)
Rh (0.081, 0.500, 0.141)
Rh (0.919, 0.500, 0.859)

As for the energy relative to the elements: -0.537 eV per atom. As for the symmetry: No. 10. As for the magnetization: 0.00 μB/f.u. The calculation puts the volume at 26.40 Å³ per atom.

# Th3In7Rh4

An optimized crystal structure of Th3In7Rh4 (PBE, Alexandria via LeMat-Bulk).

Cell: 8.581 8.581 10.458 Å, 121.78 121.78 29.12°
Fractional coordinates of all 14 atoms:
Th (0.000, 0.000, 0.000)
Th (0.302, 0.302, 0.287)
Th (0.698, 0.698, 0.713)
In (0.000, 0.000, 0.500)
In (0.165, 0.165, 0.434)
In (0.322, 0.322, 0.985)
In (0.489, 0.489, 0.708)
In (0.511, 0.511, 0.292)
In (0.678, 0.678, 0.015)
In (0.835, 0.835, 0.566)
Rh (0.117, 0.117, 0.822)
Rh (0.339, 0.339, 0.746)
Rh (0.661, 0.661, 0.254)
Rh (0.883, 0.883, 0.178)

As for the energy relative to the elements: -0.530 eV per atom. As for the symmetry: No. 12. As for the magnetization: 0.00 μB/f.u. The calculation puts the volume at 22.45 Å³ per atom.

# ThIn5Rh6

An optimized crystal structure of ThIn5Rh6 (PBE, Alexandria via LeMat-Bulk).

Cell: 7.159 7.159 7.019 Å, 90.00 90.00 143.27°
Fractional coordinates of all 12 atoms:
Th (0.000, 0.000, 0.000)
In (0.000, 0.000, 0.500)
In (0.327, 0.673, 0.000)
In (0.334, 0.666, 0.500)
In (0.666, 0.334, 0.500)
In (0.673, 0.327, 0.000)
Rh (0.169, 0.831, 0.258)
Rh (0.169, 0.831, 0.742)
Rh (0.500, 0.500, 0.260)
Rh (0.500, 0.500, 0.740)
Rh (0.831, 0.169, 0.258)
Rh (0.831, 0.169, 0.742)

As for the energy relative to the elements: -0.527 eV per atom. As for the symmetry: No. 65. As for the magnetization: 0.00 μB/f.u. The calculation puts the volume at 17.93 Å³ per atom.

# ThInRh

An optimized crystal structure of ThInRh (PBE, Alexandria via LeMat-Bulk).

Cell: 13.516 3.927 7.837 Å, 90.00 90.00 90.00°
Fractional coordinates of all 18 atoms:
Th (0.046, 0.000, 0.223)
Th (0.250, 0.000, 0.846)
Th (0.454, 0.000, 0.223)
Th (0.546, 0.000, 0.777)
Th (0.750, 0.000, 0.154)
Th (0.954, 0.000, 0.777)
In (0.117, 0.500, 0.561)
In (0.250, 0.500, 0.195)
In (0.383, 0.500, 0.561)
In (0.617, 0.500, 0.439)
In (0.750, 0.500, 0.805)
In (0.883, 0.500, 0.439)
Rh (0.100, 0.500, 0.927)
Rh (0.250, 0.000, 0.447)
Rh (0.400, 0.500, 0.927)
Rh (0.600, 0.500, 0.073)
Rh (0.750, 0.000, 0.553)
Rh (0.900, 0.500, 0.073)

As for the energy relative to the elements: -0.743 eV per atom. As for the symmetry: No. 51. As for the magnetization: 0.00 μB/f.u. The calculation puts the volume at 23.11 Å³ per atom.

# ThIn2Rh9

An optimized crystal structure of ThIn2Rh9 (PBE, Alexandria via LeMat-Bulk).

Cell: 4.043 4.043 11.957 Å, 90.00 90.00 90.00°
Fractional coordinates of all 12 atoms:
Th (0.000, 0.000, 0.000)
In (0.000, 0.000, 0.339)
In (0.000, 0.000, 0.661)
Rh (0.000, 0.500, 0.178)
Rh (0.000, 0.500, 0.500)
Rh (0.000, 0.500, 0.822)
Rh (0.500, 0.000, 0.178)
Rh (0.500, 0.000, 0.500)
Rh (0.500, 0.000, 0.822)
Rh (0.500, 0.500, 0.000)
Rh (0.500, 0.500, 0.337)
Rh (0.500, 0.500, 0.663)

As for the energy relative to the elements: -0.307 eV per atom. As for the symmetry: No. 123. As for the magnetization: 0.00 μB/f.u. The calculation puts the volume at 16.29 Å³ per atom.

# ThInRh

An optimized crystal structure of ThInRh (PBE, Alexandria via LeMat-Bulk).

Cell: 5.221 5.221 5.900 Å, 90.00 90.00 120.00°
Fractional coordinates of all 6 atoms:
Th (0.333, 0.667, 0.250)
Th (0.667, 0.333, 0.750)
In (0.000, 0.000, 0.000)
In (0.000, 0.000, 0.500)
Rh (0.333, 0.667, 0.750)
Rh (0.667, 0.333, 0.250)

As for the energy relative to the elements: -0.611 eV per atom. As for the symmetry: No. 194. As for the magnetization: 0.00 μB/f.u. The calculation puts the volume at 23.21 Å³ per atom.